This record from Alexandria via LeMat-Bulk describes crystalline Ba4U3CrO12 at its relaxed geometry. The functional is PBE with a Hubbard U.

As for the calculated volume: 673 Å³ per cell. The value obtained for the magnetization is 16.00 μB per cell. As for the raw total energy: -8.367 eV/atom.

The space group is Im-3m (No. 229) and the conventional cell measures 8.7636, 8.7636 and 8.7636 Å, with angles of 90.00, 90.00 and 90.00 degrees. The asymmetric unit holds Ba at (0.2500, 0.2500, 0.2500), U at (0.0000, 0.0000, 0.5000), Cr at (0.0000, 0.0000, 0.0000), O at (0.0000, 0.0000, 0.2592) and O at (0.0000, 0.2500, 0.5000).